Below is a relaxed GaGe3Pb crystal, with properties calculated at the PBE-GGA level.

Cell lengths 5.4797, 5.4797, 5.4797 Å; angles 90.00, 90.00, 90.00 degrees
Fractional coordinates of all 5 atoms:
Pb1 0.0000 0.0000 0.0000
Ge1 0.0000 0.5000 0.0000
Ge2 0.0000 0.0000 0.5000
Ge3 0.5000 0.0000 0.0000
Ga1 0.5000 0.5000 0.5000

Output
Formation energy from the elements ... 24.0 kcal/mol of atoms
Polymorph energy (0 for the lowest one) ... 543 meV per atom
Mass density ... 4.99 g/cm3
Uncorrected energy ... -3.078 eV/atom